No. 1
Computed, not measured: a relaxed structure of TcNi3P at the PBE-GGA level of DFT.

a b c (Å): 4.4433 4.4433 4.4433
angles (deg): 90.00 90.00 90.00
Atoms (fractional coordinates):
Tc: 0.0000 0.0000 0.0000
Ni: 0.0000 0.0000 0.5000
Ni: 0.0000 0.5000 0.0000
Ni: 0.5000 0.0000 0.0000
P: 0.5000 0.5000 0.5000

Computed properties:
Its space group is Pm-3m (221). Its polymorph energy (0 for the lowest one) is 5.52 eV per formula unit. As for the formation energy from the elements: 1538 meV per atom. The calculated total energy comes out at -5.086 eV/atom.


No. 2
Computed, not measured: a relaxed structure of Tc2NiP at the PBE-GGA level of DFT.

a b c (Å): 4.8798 4.8798 4.1807
angles (deg): 64.64 64.64 34.75
Atoms (fractional coordinates):
Tc: 0.0257 0.0257 0.9743
Tc: 0.2473 0.2473 0.2529
P: 0.7606 0.7606 0.7391
Ni: 0.4664 0.4664 0.5337

Computed properties:
Its space group is Imm2 (44). As for the formation energy from the elements: -243 meV per atom. The calculated total energy comes out at -8.223 eV/atom.


No. 3
Computed, not measured: a relaxed structure of TcNi2P2 at the PBE-GGA level of DFT.

a b c (Å): 6.2802 6.2802 3.0849
angles (deg): 90.00 90.00 90.00
Atoms (fractional coordinates):
Ni: 0.3595 0.1405 0.5000
Ni: 0.1405 0.6405 0.5000
Ni: 0.6405 0.8595 0.5000
Ni: 0.8595 0.3595 0.5000
P: 0.3479 0.8479 0.0000
P: 0.8479 0.6521 0.0000
P: 0.6521 0.1521 0.0000
P: 0.1521 0.3479 0.0000
Tc: 0.5000 0.5000 0.0000
Tc: 0.0000 0.0000 0.0000

Computed properties:
Its space group is P4/mbm (127). As for the formation energy from the elements: -307 meV per atom. The calculated total energy comes out at -6.856 eV/atom.


No. 4
Computed, not measured: a relaxed structure of Tc2NiP2 at the PBE-GGA level of DFT.

a b c (Å): 6.6952 6.6952 2.8997
angles (deg): 90.00 90.00 90.00
Atoms (fractional coordinates):
Ni: 0.0000 0.0000 0.0000
Ni: 0.5000 0.5000 0.0000
Tc: 0.6490 0.8510 0.5000
Tc: 0.1490 0.6490 0.5000
Tc: 0.8510 0.3510 0.5000
Tc: 0.3510 0.1490 0.5000
P: 0.1508 0.3492 0.0000
P: 0.8492 0.6508 0.0000
P: 0.6508 0.1508 0.0000
P: 0.3492 0.8492 0.0000

Computed properties:
Its space group is P4/mbm (127). As for the formation energy from the elements: -256 meV per atom. The calculated total energy comes out at -7.722 eV/atom.


No. 5
Computed, not measured: a relaxed structure of Tc2NiP at the PBE-GGA level of DFT.

a b c (Å): 2.8535 2.8535 6.3234
angles (deg): 90.00 90.00 90.00
Atoms (fractional coordinates):
Ni: 0.0000 0.0000 0.5439
Tc: 0.0000 0.0000 0.9720
Tc: 0.5000 0.5000 0.2511
P: 0.5000 0.5000 0.7330

Computed properties:
Its space group is P4mm (99). As for the formation energy from the elements: -144 meV per atom. The calculated total energy comes out at -8.125 eV/atom.


No. 6
Computed, not measured: a relaxed structure of Tc3NiP at the PBE-GGA level of DFT.

a b c (Å): 4.3210 4.3210 4.3210
angles (deg): 90.00 90.00 90.00
Atoms (fractional coordinates):
P: 0.0000 0.0000 0.0000
Tc: 0.0000 0.5000 0.0000
Tc: 0.5000 0.0000 0.0000
Tc: 0.0000 0.0000 0.5000
Ni: 0.5000 0.5000 0.5000

Computed properties:
Its space group is Pm-3m (221). Its polymorph energy (0 for the lowest one) is 0.00 eV per formula unit. As for the formation energy from the elements: 721 meV per atom. The calculated total energy comes out at -7.736 eV/atom.


It is found that the total magnetization values, taken in the order of the records, are 0.0000; 0.0000; 0.0000; 0.0000; 0.0000; 0.0586 μB/atom.